No. 1
VASP calculation (PBE-GGA) on a geometry-optimized TaSn3Ge structure.

Results
Calculated volume   27.6 Å³/atom
Energy relative to the elements   1.29 eV per atom
Excess energy over the best structure of this formula in the dataset   297 kJ/mol of formula units

Cell: 5.1660 5.1660 5.1660 Å, 90.00 90.00 90.00°
Fractional positions:
Ta  0.0000  0.0000  0.0000
Sn  0.0000  0.5000  0.5000
Sn  0.5000  0.0000  0.5000
Sn  0.5000  0.5000  0.0000
Ge  0.5000  0.5000  0.5000

No. 2
VASP calculation (PBE-GGA) on a geometry-optimized TaSnGe structure.

Results
Calculated volume   22.2 Å³/atom
Energy relative to the elements   0.22 eV per atom

Cell: 7.4843 7.4843 7.1475 Å, 117.50 117.50 22.17°
Fractional positions:
Ta  0.1006  0.1006  0.2075
Ta  0.8994  0.8994  0.7925
Sn  0.4112  0.4112  0.1666
Sn  0.5888  0.5888  0.8334
Ge  0.3114  0.3114  0.4124
Ge  0.6886  0.6886  0.5876

No. 3
VASP calculation (PBE-GGA) on a geometry-optimized TaSn3Ge structure.

Results
Calculated volume   31.3 Å³/atom
Energy relative to the elements   0.68 eV per atom
Excess energy over the best structure of this formula in the dataset   0 kJ/mol of formula units

Cell: 5.3872 5.3872 5.3872 Å, 90.00 90.00 90.00°
Fractional positions:
Ta  0.0000  0.0000  0.0000
Sn  0.0000  0.0000  0.5000
Sn  0.0000  0.5000  0.0000
Sn  0.5000  0.0000  0.0000
Ge  0.5000  0.5000  0.5000

No. 4
VASP calculation (PBE-GGA) on a geometry-optimized TaTcSnGe2 structure.

Results
Calculated volume   22.9 Å³/atom
Energy relative to the elements   1.06 eV per atom

Cell: 4.6496 4.6496 5.3034 Å, 90.00 90.00 90.00°
Fractional positions:
Ta  0.0000  0.0000  0.0000
Tc  0.5000  0.5000  0.5000
Sn  0.5000  0.5000  0.0000
Ge  0.0000  0.5000  0.5000
Ge  0.5000  0.0000  0.5000

No. 5
VASP calculation (PBE-GGA) on a geometry-optimized TaSnGe2Te structure.

Results
Calculated volume   29.3 Å³/atom
Formation energy from raw total energies   1.293 eV per atom

Cell: 5.2139 5.2139 5.3902 Å, 90.00 90.00 90.00°
Fractional positions:
Ta  0.0000  0.0000  0.0000
Sn  0.0000  0.0000  0.5000
Ge  0.0000  0.5000  0.5000
Ge  0.5000  0.0000  0.5000
Te  0.5000  0.5000  0.0000

No. 6
VASP calculation (PBE-GGA) on a geometry-optimized YTaSn2Ge structure.

Results
Calculated volume   28.3 Å³/atom
Energy relative to the elements   0.22 eV per atom
Excess energy over the best structure of this formula in the dataset   0 kJ/mol of formula units

Cell: 5.3312 5.3312 4.9740 Å, 90.00 90.00 90.00°
Fractional positions:
Y  0.0000  0.0000  0.0000
Ta  0.5000  0.5000  0.5000
Sn  0.0000  0.5000  0.5000
Sn  0.5000  0.0000  0.5000
Ge  0.5000  0.5000  0.0000

No. 7
VASP calculation (PBE-GGA) on a geometry-optimized YTaSn2Ge structure.

Results
Calculated volume   28.0 Å³/atom
Energy relative to the elements   0.98 eV per atom
Excess energy over the best structure of this formula in the dataset   368 kJ/mol of formula units

Cell: 5.1858 5.1858 5.2075 Å, 90.00 90.00 90.00°
Fractional positions:
Y  0.0000  0.0000  0.0000
Ta  0.5000  0.5000  0.0000
Sn  0.0000  0.5000  0.5000
Sn  0.5000  0.0000  0.5000
Ge  0.0000  0.0000  0.5000

No. 8
VASP calculation (PBE-GGA) on a geometry-optimized TbSnGe structure.

Results
Calculated volume   25.3 Å³/atom
Energy relative to the elements   -0.37 eV per atom

Cell: 4.7187 4.7187 3.9325 Å, 90.00 90.00 120.00°
Fractional positions:
Tb  0.0000  0.0000  0.0000
Sn  0.6667  0.3333  0.5000
Ge  0.3333  0.6667  0.5000

No. 9
VASP calculation (PBE-GGA) on a geometry-optimized TbSnGe structure.

Results
Calculated volume   24.1 Å³/atom
Energy relative to the elements   -0.64 eV per atom

Cell: 8.5309 8.5309 4.0558 Å, 90.00 90.00 150.67°
Fractional positions:
Tb  0.0946  0.9054  0.7500
Tb  0.9054  0.0946  0.2500
Sn  0.2586  0.7414  0.2500
Sn  0.7414  0.2586  0.7500
Ge  0.4472  0.5528  0.7500
Ge  0.5528  0.4472  0.2500

No. 10
VASP calculation (PBE-GGA) on a geometry-optimized Tb8Sn5Ge structure.

Results
Calculated volume   28.4 Å³/atom
Energy relative to the elements   -0.75 eV per atom

Cell: 8.0218 8.0218 8.0218 Å, 109.68 109.68 109.06°
Fractional positions:
Tb  0.1135  0.2353  0.7418
Tb  0.1218  0.7286  0.7484
Tb  0.2714  0.0198  0.3932
Tb  0.4936  0.3717  0.2582
Tb  0.6266  0.8782  0.6068
Tb  0.6283  0.8865  0.1219
Tb  0.7647  0.5064  0.8781
Tb  0.9802  0.3734  0.2516
Sn  0.0000  0.0000  0.0000
Sn  0.2509  0.6230  0.1274
Sn  0.3770  0.5043  0.6278
Sn  0.4957  0.1235  0.8726
Sn  0.8765  0.7491  0.3722
Ge  0.7500  0.2500  0.5000

No. 11
VASP calculation (PBE-GGA) on a geometry-optimized TbSnGe2 structure.

Results
Calculated volume   22.7 Å³/atom
Energy relative to the elements   -0.29 eV per atom
Excess energy over the best structure of this formula in the dataset   44 kJ/mol of formula units

Cell: 3.8381 3.8381 6.1553 Å, 90.00 90.00 90.00°
Fractional positions:
Tb  0.0000  0.0000  0.0000
Sn  0.0000  0.0000  0.5000
Ge  0.5000  0.5000  0.2610
Ge  0.5000  0.5000  0.7390

No. 12
VASP calculation (PBE-GGA) on a geometry-optimized TbSnGe2 structure.

Results
Calculated volume   34.9 Å³/atom
Energy relative to the elements   0.24 eV per atom
Excess energy over the best structure of this formula in the dataset   251 kJ/mol of formula units

Cell: 7.6491 7.6491 7.6491 Å, 36.17 36.17 36.17°
Fractional positions:
Tb  0.0000  0.0000  0.0000
Sn  0.5000  0.5000  0.5000
Ge  0.3806  0.3806  0.3806
Ge  0.6194  0.6194  0.6194

No. 13
VASP calculation (PBE-GGA) on a geometry-optimized TbSnGe2 structure.

Results
Calculated volume   22.2 Å³/atom
Energy relative to the elements   -0.41 eV per atom
Excess energy over the best structure of this formula in the dataset   0 kJ/mol of formula units

Cell: 4.6276 4.6276 4.1534 Å, 90.00 90.00 90.00°
Fractional positions:
Tb  0.0000  0.0000  0.0000
Sn  0.5000  0.5000  0.0000
Ge  0.0000  0.5000  0.5000
Ge  0.5000  0.0000  0.5000